1.
AcPm4Ho4 | PBE | relaxed

Values from the calculation:
- N(E_F): 1.368 states/eV/atom
- Total magnetization: 0.0000 μB/atom
- ρ: 8.00 g/cm³
- ΔE_f: 0.032 eV per atom

a b c (Å): 6.2862 8.8990 11.4702
angles (deg): 104.80 100.49 90.47
Sites, in units of the cell vectors:
Ac 0.1684 0.4168 0.2515
Ac 0.8316 0.5832 0.7485
Pm 0.0548 0.8081 0.4185
Pm 0.0577 0.3032 0.9147
Pm 0.1714 0.9178 0.7486
Pm 0.2801 0.0234 0.0836
Pm 0.7199 0.9766 0.9164
Pm 0.8286 0.0822 0.2514
Pm 0.9423 0.6968 0.0853
Pm 0.9452 0.1919 0.5815
Ho 0.2788 0.5267 0.5839
Ho 0.3895 0.6382 0.9195
Ho 0.3920 0.1361 0.4202
Ho 0.4968 0.2483 0.7485
Ho 0.5032 0.7517 0.2515
Ho 0.6080 0.8639 0.5798
Ho 0.6105 0.3618 0.0805
Ho 0.7212 0.4733 0.4161

=====

2.
Li8Ga2Cu | PBE | relaxed

Values from the calculation:
- N(E_F): 0.285 states/eV/atom
- Total magnetization: 0.0000 μB/atom
- ρ: 2.36 g/cm³
- Distance to the lowest polymorph of the same formula: 98 kJ/mol of formula units
- ΔE_f: -0.057 eV per atom

a b c (Å): 7.3865 7.3865 4.7287
angles (deg): 105.80 105.80 121.70
Sites, in units of the cell vectors:
Li 0.1034 0.3392 0.6564
Li 0.2027 0.7973 0.0000
Li 0.3392 0.1034 0.6564
Li 0.3903 0.3903 0.2029
Li 0.6097 0.6097 0.7971
Li 0.6608 0.8966 0.3436
Li 0.7973 0.2027 0.0000
Li 0.8966 0.6608 0.3436
Ga 0.3081 0.6919 0.5000
Ga 0.6919 0.3081 0.5000
Cu 0.0000 0.0000 0.0000